No. 1
# NaSeS2N

An optimized crystal structure of NaSeS2N (PBE, Alexandria).

```
data_NaSeS2N
_chemical_formula_sum 'Na1 Se1 S2 N1'
_symmetry_space_group_name_H-M 'P 1'
_symmetry_Int_Tables_number 1
_symmetry_space_group_name_Hall 'P 1'
_cell_length_a 4.9201
_cell_length_b 4.9201
_cell_length_c 4.0020
_cell_angle_alpha 90.00
_cell_angle_beta 90.00
_cell_angle_gamma 90.00
loop_
_atom_site_label
_atom_site_fract_x
_atom_site_fract_y
_atom_site_fract_z
Na1 0.5000 0.5000 0.5000
S1 0.0000 0.5000 0.0000
S2 0.5000 0.0000 0.0000
Se1 0.0000 0.0000 0.0000
N1 0.0000 0.0000 0.5000
```

Properties
* calculated volume: 19.38 A^3/atom
* E_tot: -3.6278 eV per atom
* ΔE to the lowest computed polymorph: 0.000 eV per atom
* energy relative to the elements, uncorrected: 0.649 eV per atom
* space-group type: P4/mmm (123)



No. 2
# NaSeSN2

An optimized crystal structure of NaSeSN2 (PBE, Alexandria).

```
data_NaSeSN2
_chemical_formula_sum 'Na1 Se1 S1 N2'
_symmetry_space_group_name_H-M 'P 1'
_symmetry_Int_Tables_number 1
_symmetry_space_group_name_Hall 'P 1'
_cell_length_a 4.2907
_cell_length_b 4.2907
_cell_length_c 5.6188
_cell_angle_alpha 90.00
_cell_angle_beta 90.00
_cell_angle_gamma 90.00
loop_
_atom_site_label
_atom_site_fract_x
_atom_site_fract_y
_atom_site_fract_z
Na1 0.0000 0.0000 0.0000
S1 0.0000 0.0000 0.5000
Se1 0.5000 0.5000 0.5000
N1 0.0000 0.5000 0.0000
N2 0.5000 0.0000 0.0000
```

Properties
* calculated volume: 20.69 A^3/atom
* E_tot: -3.0069 eV per atom
* ΔE to the lowest computed polymorph: 0.940 eV per atom
* energy relative to the elements, uncorrected: 2.109 eV per atom
* space-group type: P4/mmm (123)



No. 3
# NaSiSN2

An optimized crystal structure of NaSiSN2 (PBE, Alexandria).

```
data_NaSiSN2
_chemical_formula_sum 'Na1 Si1 S1 N2'
_symmetry_space_group_name_H-M 'P 1'
_symmetry_Int_Tables_number 1
_symmetry_space_group_name_Hall 'P 1'
_cell_length_a 4.2648
_cell_length_b 4.2648
_cell_length_c 5.2276
_cell_angle_alpha 90.00
_cell_angle_beta 90.00
_cell_angle_gamma 90.00
loop_
_atom_site_label
_atom_site_fract_x
_atom_site_fract_y
_atom_site_fract_z
Na1 0.0000 0.0000 0.0000
S1 0.0000 0.0000 0.5000
Si1 0.5000 0.5000 0.5000
N1 0.0000 0.5000 0.0000
N2 0.5000 0.0000 0.0000
```

Properties
* calculated volume: 19.02 A^3/atom
* E_tot: -3.4193 eV per atom
* ΔE to the lowest computed polymorph: 1.752 eV per atom
* energy relative to the elements, uncorrected: 2.085 eV per atom
* space-group type: P4/mmm (123)



No. 4
# NaSiSN2

An optimized crystal structure of NaSiSN2 (PBE, Alexandria).

```
data_NaSiSN2
_chemical_formula_sum 'Na1 Si1 S1 N2'
_symmetry_space_group_name_H-M 'P 1'
_symmetry_Int_Tables_number 1
_symmetry_space_group_name_Hall 'P 1'
_cell_length_a 3.6175
_cell_length_b 3.6175
_cell_length_c 4.9592
_cell_angle_alpha 90.00
_cell_angle_beta 90.00
_cell_angle_gamma 90.00
loop_
_atom_site_label
_atom_site_fract_x
_atom_site_fract_y
_atom_site_fract_z
Na1 0.5000 0.5000 0.5000
S1 0.0000 0.0000 0.5000
Si1 0.0000 0.0000 0.0000
N1 0.0000 0.5000 0.0000
N2 0.5000 0.0000 0.0000
```

Properties
* calculated volume: 12.98 A^3/atom
* E_tot: -5.1712 eV per atom
* ΔE to the lowest computed polymorph: 0.000 eV per atom
* energy relative to the elements, uncorrected: 0.333 eV per atom
* space-group type: P4/mmm (123)



No. 5
# NaSnSN2

An optimized crystal structure of NaSnSN2 (PBE, Alexandria).

```
data_NaSnSN2
_chemical_formula_sum 'Na1 Sn1 S1 N2'
_symmetry_space_group_name_H-M 'P 1'
_symmetry_Int_Tables_number 1
_symmetry_space_group_name_Hall 'P 1'
_cell_length_a 4.2523
_cell_length_b 4.2523
_cell_length_c 5.2059
_cell_angle_alpha 90.00
_cell_angle_beta 90.00
_cell_angle_gamma 90.00
loop_
_atom_site_label
_atom_site_fract_x
_atom_site_fract_y
_atom_site_fract_z
Na1 0.5000 0.5000 0.5000
S1 0.0000 0.0000 0.5000
Sn1 0.0000 0.0000 0.0000
N1 0.0000 0.5000 0.0000
N2 0.5000 0.0000 0.0000
```

Properties
* calculated volume: 18.83 A^3/atom
* E_tot: -4.4313 eV per atom
* ΔE to the lowest computed polymorph: 0.000 eV per atom
* energy relative to the elements, uncorrected: 0.789 eV per atom
* space-group type: P4/mmm (123)



No. 6
# NaSnSN2

An optimized crystal structure of NaSnSN2 (PBE, Alexandria).

```
data_NaSnSN2
_chemical_formula_sum 'Na1 Sn1 S1 N2'
_symmetry_space_group_name_H-M 'P 1'
_symmetry_Int_Tables_number 1
_symmetry_space_group_name_Hall 'P 1'
_cell_length_a 4.4016
_cell_length_b 4.4016
_cell_length_c 5.1994
_cell_angle_alpha 90.00
_cell_angle_beta 90.00
_cell_angle_gamma 90.00
loop_
_atom_site_label
_atom_site_fract_x
_atom_site_fract_y
_atom_site_fract_z
Na1 0.0000 0.0000 0.0000
S1 0.0000 0.0000 0.5000
Sn1 0.5000 0.5000 0.5000
N1 0.0000 0.5000 0.0000
N2 0.5000 0.0000 0.0000
```

Properties
* calculated volume: 20.15 A^3/atom
* E_tot: -3.6120 eV per atom
* ΔE to the lowest computed polymorph: 0.819 eV per atom
* energy relative to the elements, uncorrected: 1.608 eV per atom
* space-group type: P4/mmm (123)



No. 7
# NaSnS2N

An optimized crystal structure of NaSnS2N (PBE, Alexandria).

```
data_NaSnS2N
_chemical_formula_sum 'Na1 Sn1 S2 N1'
_symmetry_space_group_name_H-M 'P 1'
_symmetry_Int_Tables_number 1
_symmetry_space_group_name_Hall 'P 1'
_cell_length_a 5.1115
_cell_length_b 5.1115
_cell_length_c 4.2219
_cell_angle_alpha 90.00
_cell_angle_beta 90.00
_cell_angle_gamma 90.00
loop_
_atom_site_label
_atom_site_fract_x
_atom_site_fract_y
_atom_site_fract_z
Na1 0.5000 0.5000 0.5000
S1 0.0000 0.5000 0.0000
S2 0.5000 0.0000 0.0000
Sn1 0.0000 0.0000 0.0000
N1 0.0000 0.0000 0.5000
```

Properties
* calculated volume: 22.06 A^3/atom
* E_tot: -4.0706 eV per atom
* ΔE to the lowest computed polymorph: 0.000 eV per atom
* energy relative to the elements, uncorrected: 0.310 eV per atom
* space-group type: P4/mmm (123)



No. 8
# NaSnS2N

An optimized crystal structure of NaSnS2N (PBE, Alexandria).

```
data_NaSnS2N
_chemical_formula_sum 'Na1 Sn1 S2 N1'
_symmetry_space_group_name_H-M 'P 1'
_symmetry_Int_Tables_number 1
_symmetry_space_group_name_Hall 'P 1'
_cell_length_a 5.0832
_cell_length_b 5.0832
_cell_length_c 4.3527
_cell_angle_alpha 90.00
_cell_angle_beta 90.00
_cell_angle_gamma 90.00
loop_
_atom_site_label
_atom_site_fract_x
_atom_site_fract_y
_atom_site_fract_z
Na1 0.0000 0.0000 0.0000
S1 0.0000 0.5000 0.0000
S2 0.5000 0.0000 0.0000
Sn1 0.5000 0.5000 0.5000
N1 0.0000 0.0000 0.5000
```

Properties
* calculated volume: 22.49 A^3/atom
* E_tot: -3.3689 eV per atom
* ΔE to the lowest computed polymorph: 0.702 eV per atom
* energy relative to the elements, uncorrected: 1.012 eV per atom
* space-group type: P4/mmm (123)



No. 9
# NaTa2SN

An optimized crystal structure of NaTa2SN (PBE, Alexandria).

```
data_NaTa2SN
_chemical_formula_sum 'Na1 Ta2 S1 N1'
_symmetry_space_group_name_H-M 'P 1'
_symmetry_Int_Tables_number 1
_symmetry_space_group_name_Hall 'P 1'
_cell_length_a 4.5131
_cell_length_b 4.8227
_cell_length_c 4.5131
_cell_angle_alpha 90.00
_cell_angle_beta 90.00
_cell_angle_gamma 90.00
loop_
_atom_site_label
_atom_site_fract_x
_atom_site_fract_y
_atom_site_fract_z
Na1 0.0000 0.5000 0.0000
S1 0.0000 0.0000 0.0000
N1 0.5000 0.5000 0.5000
Ta1 0.0000 0.0000 0.5000
Ta2 0.5000 0.0000 0.0000
```

Properties
* calculated volume: 19.65 A^3/atom
* E_tot: -6.0738 eV per atom
* energy relative to the elements, uncorrected: 1.422 eV per atom
* space-group type: P4/mmm (123)



No. 10
# NaTcS2N

An optimized crystal structure of NaTcS2N (PBE, Alexandria).

```
data_NaTcS2N
_chemical_formula_sum 'Na1 Tc1 S2 N1'
_symmetry_space_group_name_H-M 'P 1'
_symmetry_Int_Tables_number 1
_symmetry_space_group_name_Hall 'P 1'
_cell_length_a 4.8432
_cell_length_b 4.8432
_cell_length_c 3.7519
_cell_angle_alpha 90.00
_cell_angle_beta 90.00
_cell_angle_gamma 90.00
loop_
_atom_site_label
_atom_site_fract_x
_atom_site_fract_y
_atom_site_fract_z
Na1 0.5000 0.5000 0.5000
S1 0.0000 0.5000 0.0000
S2 0.5000 0.0000 0.0000
Tc1 0.0000 0.0000 0.0000
N1 0.0000 0.0000 0.5000
```

Properties
* calculated volume: 17.60 A^3/atom
* E_tot: -5.7546 eV per atom
* ΔE to the lowest computed polymorph: 0.000 eV per atom
* energy relative to the elements, uncorrected: -0.102 eV per atom
* space-group type: P4/mmm (123)



No. 11
# NaTcS2N

An optimized crystal structure of NaTcS2N (PBE, Alexandria).

```
data_NaTcS2N
_chemical_formula_sum 'Na1 Tc1 S2 N1'
_symmetry_space_group_name_H-M 'P 1'
_symmetry_Int_Tables_number 1
_symmetry_space_group_name_Hall 'P 1'
_cell_length_a 4.6802
_cell_length_b 4.6802
_cell_length_c 3.8966
_cell_angle_alpha 90.00
_cell_angle_beta 90.00
_cell_angle_gamma 90.00
loop_
_atom_site_label
_atom_site_fract_x
_atom_site_fract_y
_atom_site_fract_z
Na1 0.0000 0.0000 0.0000
S1 0.0000 0.5000 0.0000
S2 0.5000 0.0000 0.0000
Tc1 0.5000 0.5000 0.5000
N1 0.0000 0.0000 0.5000
```

Properties
* calculated volume: 17.07 A^3/atom
* E_tot: -3.5674 eV per atom
* ΔE to the lowest computed polymorph: 2.187 eV per atom
* energy relative to the elements, uncorrected: 2.086 eV per atom
* space-group type: P4/mmm (123)



No. 12
# NaTeSN2

An optimized crystal structure of NaTeSN2 (PBE, Alexandria).

```
data_NaTeSN2
_chemical_formula_sum 'Na1 Te1 S1 N2'
_symmetry_space_group_name_H-M 'P 1'
_symmetry_Int_Tables_number 1
_symmetry_space_group_name_Hall 'P 1'
_cell_length_a 4.3556
_cell_length_b 4.3556
_cell_length_c 5.5722
_cell_angle_alpha 90.00
_cell_angle_beta 90.00
_cell_angle_gamma 90.00
loop_
_atom_site_label
_atom_site_fract_x
_atom_site_fract_y
_atom_site_fract_z
Na1 0.0000 0.0000 0.0000
S1 0.0000 0.0000 0.5000
Te1 0.5000 0.5000 0.5000
N1 0.0000 0.5000 0.0000
N2 0.5000 0.0000 0.0000
```

Properties
* calculated volume: 21.14 A^3/atom
* E_tot: -3.1306 eV per atom
* ΔE to the lowest computed polymorph: 0.982 eV per atom
* energy relative to the elements, uncorrected: 1.917 eV per atom
* space-group type: P4/mmm (123)



No. 13
# NaTeSN2

An optimized crystal structure of NaTeSN2 (PBE, Alexandria).

```
data_NaTeSN2
_chemical_formula_sum 'Na1 Te1 S1 N2'
_symmetry_space_group_name_H-M 'P 1'
_symmetry_Int_Tables_number 1
_symmetry_space_group_name_Hall 'P 1'
_cell_length_a 4.0043
_cell_length_b 4.0043
_cell_length_c 5.4425
_cell_angle_alpha 90.00
_cell_angle_beta 90.00
_cell_angle_gamma 90.00
loop_
_atom_site_label
_atom_site_fract_x
_atom_site_fract_y
_atom_site_fract_z
Na1 0.5000 0.5000 0.5000
S1 0.0000 0.0000 0.0000
Te1 0.0000 0.0000 0.5000
N1 0.0000 0.5000 0.0000
N2 0.5000 0.0000 0.0000
```

Properties
* calculated volume: 17.45 A^3/atom
* E_tot: -3.5885 eV per atom
* ΔE to the lowest computed polymorph: 0.524 eV per atom
* energy relative to the elements, uncorrected: 1.459 eV per atom
* space-group type: P4/mmm (123)



No. 14
# NaTeSN2

An optimized crystal structure of NaTeSN2 (PBE, Alexandria).

```
data_NaTeSN2
_chemical_formula_sum 'Na1 Te1 S1 N2'
_symmetry_space_group_name_H-M 'P 1'
_symmetry_Int_Tables_number 1
_symmetry_space_group_name_Hall 'P 1'
_cell_length_a 4.3068
_cell_length_b 4.3068
_cell_length_c 6.5010
_cell_angle_alpha 90.00
_cell_angle_beta 90.00
_cell_angle_gamma 90.00
loop_
_atom_site_label
_atom_site_fract_x
_atom_site_fract_y
_atom_site_fract_z
Na1 0.0000 0.0000 0.0000
S1 0.5000 0.5000 0.5000
Te1 0.0000 0.0000 0.5000
N1 0.0000 0.5000 0.0000
N2 0.5000 0.0000 0.0000
```

Properties
* calculated volume: 24.12 A^3/atom
* E_tot: -3.0700 eV per atom
* ΔE to the lowest computed polymorph: 1.043 eV per atom
* energy relative to the elements, uncorrected: 1.978 eV per atom
* space-group type: P4/mmm (123)